# 1
A relaxed structure of CrMo2OsN, computed with GGA-PBE.

a = 4.0917 Å, b = 4.0917 Å, c = 3.8613 Å
α = 90.00°, β = 90.00°, γ = 90.00°
Closest atoms and distances in Å follow each position.
Space group P4/mmm (No. 123)
Asymmetric unit:
Cr: 0.0000 0.0000 0.0000 x1  2 N 1.93
Mo: 0.0000 0.5000 0.5000 x2  2 N 2.05
Os: 0.5000 0.5000 0.0000 x1  8 Mo 2.81, 4 Cr 2.89
N: 0.0000 0.0000 0.5000 x1  2 Cr 1.93, 4 Mo 2.05

The calculation puts the energy relative to the elements, uncorrected at -0.095 eV/atom.


# 2
A relaxed structure of Cr2MoOsN, computed with GGA-PBE.

a = 3.8517 Å, b = 3.8517 Å, c = 4.0523 Å
α = 90.00°, β = 90.00°, γ = 90.00°
Closest atoms and distances in Å follow each position.
Space group P4/mmm (No. 123)
Asymmetric unit:
Cr: 0.0000 0.5000 0.0000 x2  2 N 1.93
Mo: 0.0000 0.0000 0.5000 x1  2 N 2.03
Os: 0.5000 0.5000 0.5000 x1  4 Mo 2.72, 8 Cr 2.80
N: 0.0000 0.0000 0.0000 x1  4 Cr 1.93, 2 Mo 2.03

The calculation puts the energy relative to the elements, uncorrected at -0.121 eV/atom.


# 3
A relaxed structure of CrMoOs2N, computed with GGA-PBE.

a = 4.4059 Å, b = 4.4059 Å, c = 4.4576 Å
α = 90.00°, β = 90.00°, γ = 90.00°
Closest atoms and distances in Å follow each position.
Space group P4/mmm (No. 123)
Asymmetric unit:
Cr: 0.0000 0.0000 0.0000 x1  4 Os 2.20, 2 Mo 2.23
Mo: 0.0000 0.0000 0.5000 x1  2 Cr 2.23
Os: 0.0000 0.5000 0.0000 x2  2 Cr 2.20
N: 0.5000 0.5000 0.5000 x1  4 Mo 3.12, 8 Os 3.13

The calculation puts the energy relative to the elements, uncorrected at 2.715 eV/atom.


# 4
A relaxed structure of Pa2CrMoN6, computed with GGA-PBE.

a = 5.3495 Å, b = 5.3495 Å, c = 4.6116 Å
α = 90.00°, β = 90.00°, γ = 90.00°
Closest atoms and distances in Å follow each position.
Space group P4mm (No. 99)
Asymmetric unit:
Pa: 0.0000 0.5000 0.0000 x2  4 N 2.25
Cr: 0.0000 0.0000 0.5971 x1  1 N 1.76
Mo: 0.5000 0.5000 0.5883 x1  5 N 1.82-2.03
N: 0.0000 0.0000 0.2149 x1  1 Cr 1.76
N: 0.2471 0.2471 0.7355 x4  1 Cr 1.98, 1 Mo 2.03
N: 0.5000 0.5000 0.1927 x1  1 Mo 1.82

The calculation puts the energy relative to the elements, uncorrected at -0.845 eV/atom.


no.,E_tot (eV per formula unit)
1,-51.32
2,-50.24
3,-37.67
4,-97.85